(1)
Below is ScMoAu2 after structural relaxation, with properties calculated at the PBE-GGA level.

a = 3.0396 Å, b = 3.0396 Å, c = 27.6401 Å
α = 90.00°, β = 90.00°, γ = 120.00°
Last column: nearest neighbours and their distance in Å.
Positions (direct):
Sc (0.0000, 0.0000, 0.0000)  3 Au 2.88, 3 Mo 2.89, 6 Sc 3.04
Sc (0.3333, 0.6667, 0.6667)  3 Au 2.88, 3 Mo 2.89, 6 Sc 3.04
Sc (0.6667, 0.3333, 0.3333)  3 Au 2.88, 3 Mo 2.89, 6 Sc 3.04
Mo (0.0000, 0.0000, 0.2502)  3 Au 2.82, 3 Sc 2.89, 6 Mo 3.04
Mo (0.3333, 0.6667, 0.9169)  3 Au 2.82, 3 Sc 2.89, 6 Mo 3.04
Mo (0.6667, 0.3333, 0.5835)  3 Au 2.82, 3 Sc 2.89, 6 Mo 3.04
Au (0.0000, 0.0000, 0.5036)  3 Mo 2.82, 9 Au 2.99-3.04
Au (0.0000, 0.0000, 0.7492)  3 Sc 2.88, 9 Au 2.99-3.04
Au (0.3333, 0.6667, 0.1703)  3 Mo 2.82, 9 Au 2.99-3.04
Au (0.3333, 0.6667, 0.4159)  3 Sc 2.88, 9 Au 2.99-3.04
Au (0.6667, 0.3333, 0.0825)  3 Sc 2.88, 9 Au 2.99-3.04
Au (0.6667, 0.3333, 0.8370)  3 Mo 2.82, 9 Au 2.99-3.04

D(E_F)	12.451	states/eV/cell
formation energy	0.0836	eV per atom
space group	No. 160

=====

(2)
Below is Tb4SbPb2Se after structural relaxation, with properties calculated at the PBE-GGA level.

a = 7.3906 Å, b = 4.2316 Å, c = 7.8780 Å
α = 90.00°, β = 108.02°, γ = 90.00°
Last column: nearest neighbours and their distance in Å.
Positions (direct):
Tb (0.2395, 0.0000, 0.2344)  2 Se 3.00, 1 Sb 3.05, 3 Pb 3.13-3.17
Tb (0.2490, 0.5000, 0.7623)  1 Se 3.00, 2 Sb 3.05, 3 Pb 3.13-3.18
Tb (0.7510, 0.5000, 0.2377)  1 Se 3.00, 2 Sb 3.05, 3 Pb 3.13-3.18
Tb (0.7605, 0.0000, 0.7656)  2 Se 3.00, 1 Sb 3.05, 3 Pb 3.13-3.17
Sb (0.5000, 0.0000, 0.0000)  6 Tb 3.05
Pb (0.0000, 0.0000, 0.5000)  6 Tb 3.13
Pb (0.5000, 0.5000, 0.5000)  6 Tb 3.17-3.18
Se (0.0000, 0.5000, 0.0000)  6 Tb 3.00

ΔE_f (raw)	-0.95	eV/atom
D(E_F)	3.071	states/eV/cell
space group	No. 10

=====

(3)
Below is YTm4Cu after structural relaxation, with properties calculated at the PBE-GGA level.

a = 3.4565 Å, b = 3.4565 Å, c = 13.6584 Å
α = 90.00°, β = 90.00°, γ = 90.00°
Last column: nearest neighbours and their distance in Å.
Positions (direct):
Y (0.0000, 0.0000, 0.0000)  4 Y 3.46, 8 Tm 3.53
Tm (0.0000, 0.0000, 0.3766)  4 Cu 2.97
Tm (0.0000, 0.0000, 0.6234)  4 Cu 2.97
Tm (0.5000, 0.5000, 0.1861)  8 Tm 3.46-3.57, 4 Y 3.53
Tm (0.5000, 0.5000, 0.8139)  8 Tm 3.46-3.57, 4 Y 3.53
Cu (0.5000, 0.5000, 0.5000)  8 Tm 2.97

D(E_F)	7.936	states/eV/cell
formation energy	-0.0601	eV per atom
space group	No. 123

=====

(4)
Below is Li2P2Br after structural relaxation, with properties calculated at the PBE-GGA level.

a = 5.0917 Å, b = 5.0917 Å, c = 8.6119 Å
α = 90.00°, β = 90.00°, γ = 90.00°
Last column: nearest neighbours and their distance in Å.
Positions (direct):
Li (0.0000, 0.5000, 0.2500)  4 P 2.80
Li (0.0000, 0.5000, 0.7500)  4 P 2.80
Li (0.5000, 0.0000, 0.2500)  4 P 2.80
Li (0.5000, 0.0000, 0.7500)  4 P 2.80
P (0.0000, 0.0000, 0.1147)  1 P 1.97
P (0.0000, 0.0000, 0.8853)  1 P 1.97
P (0.5000, 0.5000, 0.3853)  1 P 1.97
P (0.5000, 0.5000, 0.6147)  1 P 1.97
Br (0.0000, 0.0000, 0.5000)  2 P 3.32, 8 Li 3.33
Br (0.5000, 0.5000, 0.0000)  2 P 3.32, 8 Li 3.33

ΔE_f (raw)	-0.27	eV/atom
D(E_F)	3.999	states/eV/cell
space group	No. 139

=====

(5)
Below is Hg2AsAu after structural relaxation, with properties calculated at the PBE-GGA level.

a = 3.1269 Å, b = 3.1269 Å, c = 29.9156 Å
α = 90.00°, β = 90.00°, γ = 120.00°
Last column: nearest neighbours and their distance in Å.
Positions (direct):
Hg (0.0000, 0.0000, 0.2484)  3 Au 3.04, 3 As 3.12, 6 Hg 3.13
Hg (0.0000, 0.0000, 0.7516)  3 Au 3.04, 3 As 3.12, 6 Hg 3.13
Hg (0.3333, 0.6667, 0.4183)  3 Au 3.04, 3 As 3.12, 6 Hg 3.13
Hg (0.3333, 0.6667, 0.9150)  3 Au 3.04, 3 As 3.12, 6 Hg 3.13
Hg (0.6667, 0.3333, 0.0850)  3 Au 3.04, 3 As 3.12, 6 Hg 3.13
Hg (0.6667, 0.3333, 0.5817)  3 Au 3.04, 3 As 3.12, 6 Hg 3.13
As (0.0000, 0.0000, 0.0000)  6 Hg 3.12, 6 As 3.13
As (0.3333, 0.6667, 0.6667)  6 Hg 3.12, 6 As 3.13
As (0.6667, 0.3333, 0.3333)  6 Hg 3.12, 6 As 3.13
Au (0.0000, 0.0000, 0.5000)  6 Hg 3.04, 6 Au 3.13
Au (0.3333, 0.6667, 0.1667)  6 Hg 3.04, 6 Au 3.13
Au (0.6667, 0.3333, 0.8333)  6 Hg 3.04, 6 Au 3.13

D(E_F)	4.555	states/eV/cell
formation energy	0.2770	eV per atom
space group	No. 166

=====

(6)
Below is Ho2PtN after structural relaxation, with properties calculated at the PBE-GGA level.

a = 3.3147 Å, b = 3.3147 Å, c = 24.3548 Å
α = 90.00°, β = 90.00°, γ = 120.00°
Last column: nearest neighbours and their distance in Å.
Positions (direct):
Ho (0.0000, 0.0000, 0.1101)  3 N 2.36
Ho (0.0000, 0.0000, 0.8899)  3 N 2.36
Ho (0.3333, 0.6667, 0.5566)  3 N 2.36
Ho (0.3333, 0.6667, 0.7768)  3 N 2.36
Ho (0.6667, 0.3333, 0.2232)  3 N 2.36
Ho (0.6667, 0.3333, 0.4434)  3 N 2.36
Pt (0.0000, 0.0000, 0.0000)  2 Ho 2.68
Pt (0.3333, 0.6667, 0.6667)  2 Ho 2.68
Pt (0.6667, 0.3333, 0.3333)  2 Ho 2.68
N (0.0000, 0.0000, 0.5000)  6 Ho 2.36
N (0.3333, 0.6667, 0.1667)  6 Ho 2.36
N (0.6667, 0.3333, 0.8333)  6 Ho 2.36

ΔE_f (raw)	-0.77	eV/atom
D(E_F)	3.377	states/eV/cell
space group	No. 166

=====

(7)
Below is DyMg12 after structural relaxation, with properties calculated at the PBE-GGA level.

a = 7.7933 Å, b = 7.7933 Å, c = 7.7933 Å
α = 98.44°, β = 98.44°, γ = 134.94°
Last column: nearest neighbours and their distance in Å.
Positions (direct):
Dy (0.0000, 0.0000, 0.0000)  20 Mg 3.56-3.90
Mg (0.0000, 0.0000, 0.5000)  10 Mg 2.98-3.12
Mg (0.0000, 0.3496, 0.3496)  9 Mg 3.06-3.32
Mg (0.0000, 0.5000, 0.0000)  10 Mg 2.98-3.12
Mg (0.0000, 0.6504, 0.6504)  9 Mg 3.06-3.32
Mg (0.2889, 0.5000, 0.7889)  10 Mg 2.98-3.32
Mg (0.3496, 0.0000, 0.3496)  9 Mg 3.06-3.32
Mg (0.5000, 0.0000, 0.0000)  10 Mg 2.98-3.12
Mg (0.5000, 0.2889, 0.7889)  10 Mg 2.98-3.32
Mg (0.5000, 0.5000, 0.5000)  10 Mg 2.98-3.12
Mg (0.5000, 0.7111, 0.2111)  10 Mg 2.98-3.32
Mg (0.6504, 0.0000, 0.6504)  9 Mg 3.06-3.32
Mg (0.7111, 0.5000, 0.2111)  10 Mg 2.98-3.32

D(E_F)	5.375	states/eV/cell
formation energy	-0.0112	eV per atom
space group	No. 139

=====

(8)
Below is CaCoHg after structural relaxation, with properties calculated at the PBE-GGA level.

a = 12.8030 Å, b = 4.0207 Å, c = 5.2767 Å
α = 90.00°, β = 102.30°, γ = 90.00°
Last column: nearest neighbours and their distance in Å.
Positions (direct):
Ca (0.1252, 0.0000, 0.3162)  1 Co 2.77
Ca (0.3748, 0.5000, 0.6838)  1 Co 2.77
Ca (0.6252, 0.5000, 0.3162)  1 Co 2.77
Ca (0.8748, 0.0000, 0.6838)  1 Co 2.77
Co (0.2288, 0.0000, 0.9058)  2 Co 2.26
Co (0.2712, 0.5000, 0.0942)  2 Co 2.26
Co (0.7288, 0.5000, 0.9058)  2 Co 2.26
Co (0.7712, 0.0000, 0.0942)  2 Co 2.26
Hg (0.0837, 0.5000, 0.7661)  3 Co 2.64-2.73
Hg (0.4163, 0.0000, 0.2339)  3 Co 2.64-2.73
Hg (0.5837, 0.0000, 0.7661)  3 Co 2.64-2.73
Hg (0.9163, 0.5000, 0.2339)  3 Co 2.64-2.73

D(E_F)	9.542	states/eV/cell
formation energy	-0.1100	eV per atom
space group	No. 12

=====

(9)
Below is Ce3Pu3Ga2 after structural relaxation, with properties calculated at the PBE-GGA level.

a = 5.8040 Å, b = 5.8040 Å, c = 5.8040 Å
α = 92.00°, β = 92.00°, γ = 92.00°
Last column: nearest neighbours and their distance in Å.
Positions (direct):
Ce (0.0000, 0.7264, 0.2736)  2 Pu 2.93, 2 Ga 3.18
Ce (0.2736, 0.0000, 0.7264)  2 Pu 2.93, 2 Ga 3.18
Ce (0.7264, 0.2736, 0.0000)  2 Pu 2.93, 2 Ga 3.18
Pu (0.2273, 0.5000, 0.7727)  2 Ce 2.93, 2 Ga 3.16
Pu (0.5000, 0.7727, 0.2273)  2 Ce 2.93, 2 Ga 3.16
Pu (0.7727, 0.2273, 0.5000)  2 Ce 2.93, 2 Ga 3.16
Ga (0.2467, 0.2467, 0.2467)  6 Pu 3.16-3.35, 6 Ce 3.18-3.31
Ga (0.7533, 0.7533, 0.7533)  6 Pu 3.16-3.35, 6 Ce 3.18-3.31

D(E_F)	17.251	states/eV/cell
formation energy	-0.1634	eV per atom
space group	No. 155

=====

(10)
Below is CsNp2AgO8 after structural relaxation, with properties calculated at the PBE-GGA level.

a = 6.0519 Å, b = 6.0519 Å, c = 7.1552 Å
α = 90.00°, β = 90.00°, γ = 120.00°
Last column: nearest neighbours and their distance in Å.
Positions (direct):
Cs (0.0000, 0.0000, 0.0000)  12 O 3.49-3.74, 2 Ag 3.58
Np (0.3333, 0.6667, 0.4460)  4 O 1.85-2.06
Np (0.6667, 0.3333, 0.5540)  4 O 1.85-2.06
Ag (0.0000, 0.0000, 0.5000)  6 O 2.38
O (0.0666, 0.3948, 0.6224)  1 Np 2.06
O (0.3283, 0.9334, 0.6224)  1 Np 2.06
O (0.3333, 0.6667, 0.1870)  1 Np 1.85
O (0.3948, 0.3283, 0.3776)  1 Np 2.06
O (0.6052, 0.6717, 0.6224)  1 Np 2.06
O (0.6667, 0.3333, 0.8130)  1 Np 1.85
O (0.6717, 0.0666, 0.3776)  1 Np 2.06
O (0.9334, 0.6052, 0.3776)  1 Np 2.06

ΔE_f (raw)	-2.00	eV/atom
space group	No. 147

=====

(11)
Below is SmZn4Pt4 after structural relaxation, with properties calculated at the PBE-GGA level.

a = 5.8225 Å, b = 5.8225 Å, c = 9.0693 Å
α = 90.00°, β = 90.00°, γ = 90.00°
Last column: nearest neighbours and their distance in Å.
Positions (direct):
Sm (0.2500, 0.7500, 0.2500)  4 Pt 3.02, 8 Zn 3.26
Sm (0.7500, 0.2500, 0.7500)  4 Pt 3.02, 8 Zn 3.26
Zn (0.0297, 0.2500, 0.1725)  5 Pt 2.57-2.66, 3 Zn 2.57-2.70
Zn (0.2500, 0.0297, 0.6725)  5 Pt 2.57-2.66, 3 Zn 2.57-2.70
Zn (0.2500, 0.4703, 0.6725)  5 Pt 2.57-2.66, 3 Zn 2.57-2.70
Zn (0.4703, 0.2500, 0.1725)  5 Pt 2.57-2.66, 3 Zn 2.57-2.70
Zn (0.5297, 0.7500, 0.8275)  5 Pt 2.57-2.66, 3 Zn 2.57-2.70
Zn (0.7500, 0.5297, 0.3275)  5 Pt 2.57-2.66, 3 Zn 2.57-2.70
Zn (0.7500, 0.9703, 0.3275)  5 Pt 2.57-2.66, 3 Zn 2.57-2.70
Zn (0.9703, 0.7500, 0.8275)  5 Pt 2.57-2.66, 3 Zn 2.57-2.70
Pt (0.0156, 0.2500, 0.4642)  5 Zn 2.57-2.66, 1 Pt 2.73
Pt (0.2500, 0.0156, 0.9642)  5 Zn 2.57-2.66, 1 Pt 2.73
Pt (0.2500, 0.4844, 0.9642)  5 Zn 2.57-2.66, 1 Pt 2.73
Pt (0.4844, 0.2500, 0.4642)  5 Zn 2.57-2.66, 1 Pt 2.73
Pt (0.5156, 0.7500, 0.5358)  5 Zn 2.57-2.66, 1 Pt 2.73
Pt (0.7500, 0.5156, 0.0358)  5 Zn 2.57-2.66, 1 Pt 2.73
Pt (0.7500, 0.9844, 0.0358)  5 Zn 2.57-2.66, 1 Pt 2.73
Pt (0.9844, 0.7500, 0.5358)  5 Zn 2.57-2.66, 1 Pt 2.73

D(E_F)	7.443	states/eV/cell
formation energy	-0.5800	eV per atom
space group	No. 137

=====

(12)
Below is Cd2Ru after structural relaxation, with properties calculated at the PBE-GGA level.

a = 6.3801 Å, b = 6.3801 Å, c = 6.3801 Å
α = 90.00°, β = 90.00°, γ = 90.00°
Last column: nearest neighbours and their distance in Å.
Positions (direct):
Cd (0.2500, 0.2500, 0.2500)  4 Ru 2.76
Cd (0.2500, 0.2500, 0.7500)  4 Ru 2.76
Cd (0.2500, 0.7500, 0.2500)  4 Ru 2.76
Cd (0.2500, 0.7500, 0.7500)  4 Ru 2.76
Cd (0.7500, 0.2500, 0.2500)  4 Ru 2.76
Cd (0.7500, 0.2500, 0.7500)  4 Ru 2.76
Cd (0.7500, 0.7500, 0.2500)  4 Ru 2.76
Cd (0.7500, 0.7500, 0.7500)  4 Ru 2.76
Ru (0.0000, 0.0000, 0.0000)  8 Cd 2.76
Ru (0.0000, 0.5000, 0.5000)  8 Cd 2.76
Ru (0.5000, 0.0000, 0.5000)  8 Cd 2.76
Ru (0.5000, 0.5000, 0.0000)  8 Cd 2.76

D(E_F)	20.561	states/eV/cell
formation energy	0.5966	eV per atom
space group	No. 225

=====

| no. | size of the total moment (μB per atom) |
| --- | --- |
| 1 | 0.00 |
| 2 | 0.00 |
| 3 | 0.00 |
| 4 | 0.00 |
| 5 | 0.00 |
| 6 | 0.00 |
| 7 | 0.00 |
| 8 | 0.30 |
| 9 | 2.56 |
| 10 | 0.00 |
| 11 | 0.00 |
| 12 | 0.13 |